Density functional theory data (GGA+U) for a geometry-optimized Li2VCrF6 structure.

Summary:
**DOS at the Fermi energy**: 0.0 states/eV/cell
**Total magnetization**: 7.0 μB per formula unit
**Energy**: -57.31 eV for the cell shown

Cell and atoms, written as CIF:
```
data_Li2VCrF6
_chemical_formula_sum 'Li2 V1 Cr1 F6'
_symmetry_space_group_name_H-M 'P 1'
_symmetry_Int_Tables_number 1
_cell_length_a 5.1960
_cell_length_b 5.3089
_cell_length_c 5.5310
_cell_angle_alpha 115.11
_cell_angle_beta 90.05
_cell_angle_gamma 118.23
loop_
_symmetry_equiv_pos_as_xyz
'x,y,z'
loop_
_atom_site_label
_atom_site_type_symbol
_atom_site_fract_x
_atom_site_fract_y
_atom_site_fract_z
Li1 Li 0.0000 0.0000 0.0000
Li2 Li 0.4830 0.0179 0.5114
V1 V 0.2716 0.5662 0.8768
Cr1 Cr 0.7694 0.5664 0.3690
F1 F 0.0248 0.4136 0.1425
F2 F 0.1901 0.0859 0.6913
F3 F 0.3441 0.0275 0.1664
F4 F 0.5440 0.7451 0.6305
F5 F 0.6851 0.7430 0.1371
F6 F 0.8600 0.4312 0.6399
```